Run one
! KLaSc2 meta-GGA SCAN PBEsol geometry; values from VASP
! space-group type	R3m, No. 160
&SYSTEM
  ibrav = 0, nat = 4, ntyp = 3
/
ATOMIC_SPECIES
La 138.91 La.upf
Sc 44.96 Sc.upf
K 39.10 K.upf
ATOMIC_POSITIONS crystal
La 0.7361 0.7361 0.7918
Sc 0.9965 0.9965 0.0104
Sc 0.2639 0.2639 0.2083
K 0.5035 0.5035 0.4895
CELL_PARAMETERS angstrom
-0.6741 2.7062 -2.0274
-3.2030 1.2633 -0.1806
1.1951 8.9717 8.6464

Run two
! KLaSc2 meta-GGA SCAN PBEsol geometry; values from VASP
! space-group type	I4/mmm, No. 139
&SYSTEM
  ibrav = 0, nat = 4, ntyp = 3
/
ATOMIC_SPECIES
La 138.91 La.upf
Sc 44.96 Sc.upf
K 39.10 K.upf
ATOMIC_POSITIONS crystal
La 0.0000 0.0000 0.0000
Sc 0.2500 0.7500 0.5000
Sc 0.7500 0.2500 0.5000
K 0.5000 0.5000 0.0000
CELL_PARAMETERS angstrom
4.9071 0.0000 0.0000
0.0000 4.9071 0.0000
-2.4536 -2.4536 5.2005

Need the numbers? Relative energies in meV per atom: run one 0; run two 348.

Run one
! KLaSi2 meta-GGA SCAN PBEsol geometry; values from VASP
! space-group type	I-4m2, No. 119
&SYSTEM
  ibrav = 0, nat = 4, ntyp = 3
/
ATOMIC_SPECIES
K 39.10 K.upf
Si 28.09 Si.upf
La 138.91 La.upf
ATOMIC_POSITIONS crystal
K 0.5000 0.5000 0.0000
Si 0.7500 0.2500 0.5000
Si 0.0000 0.0000 0.0000
La 0.2500 0.7500 0.5000
CELL_PARAMETERS angstrom
-3.5903 -0.4430 -2.6329
1.0050 -4.3119 -0.6449
-1.3610 1.1878 5.4578

Run two
! KLaSi2 meta-GGA SCAN PBEsol geometry; values from VASP
! space-group type	C2/m, No. 12
&SYSTEM
  ibrav = 0, nat = 4, ntyp = 3
/
ATOMIC_SPECIES
K 39.10 K.upf
Si 28.09 Si.upf
La 138.91 La.upf
ATOMIC_POSITIONS crystal
K 0.0000 0.5000 0.5000
Si 0.2295 0.6010 0.9401
Si 0.7705 0.3990 0.0599
La 0.5000 0.0000 0.0000
CELL_PARAMETERS angstrom
4.0172 0.0000 0.0000
2.0086 5.3858 -0.0295
2.0086 0.6454 6.2052

Run three
! KLaSi2 meta-GGA SCAN PBEsol geometry; values from VASP
! space-group type	R3m, No. 160
&SYSTEM
  ibrav = 0, nat = 4, ntyp = 3
/
ATOMIC_SPECIES
Si 28.09 Si.upf
K 39.10 K.upf
La 138.91 La.upf
ATOMIC_POSITIONS crystal
Si 0.7129 0.7129 0.8612
Si 0.0282 0.0282 0.9153
K 0.4711 0.4711 0.5866
La 0.2877 0.2877 0.1369
CELL_PARAMETERS angstrom
3.9861 0.0000 0.0000
1.9930 3.4520 0.0000
1.9930 1.1507 8.7376

Need the numbers? Relative energies in meV per atom: run one 455; run two 0; run three 46.

Run one
! K2LaTa meta-GGA SCAN PBEsol geometry; values from VASP
! space-group type	I4/mmm, No. 139
&SYSTEM
  ibrav = 0, nat = 4, ntyp = 3
/
ATOMIC_SPECIES
K 39.10 K.upf
Ta 180.95 Ta.upf
La 138.91 La.upf
ATOMIC_POSITIONS crystal
K 0.7500 0.2500 0.5000
K 0.2500 0.7500 0.5000
Ta 0.0000 0.0000 0.0000
La 0.5000 0.5000 0.0000
CELL_PARAMETERS angstrom
4.4849 0.0000 0.0000
0.0000 4.4849 0.0000
-2.2425 -2.2425 6.6647

Run two
! K2LaTa meta-GGA SCAN PBEsol geometry; values from VASP
! space-group type	P4/mmm, No. 123
&SYSTEM
  ibrav = 0, nat = 4, ntyp = 3
/
ATOMIC_SPECIES
La 138.91 La.upf
K 39.10 K.upf
Ta 180.95 Ta.upf
ATOMIC_POSITIONS crystal
La 0.5000 0.5000 0.5000
K 0.5000 0.0000 0.0000
K 0.0000 0.5000 0.0000
Ta 0.0000 0.0000 0.5000
CELL_PARAMETERS angstrom
4.4954 0.0000 0.0000
0.0000 4.4954 0.0000
0.0000 0.0000 6.6559

Need the numbers? Relative energies in meV per atom: run one 5; run two 0.